# PBE-GGA GdHoTmScIn2, relaxed
# final energy = -27.64 eV per formula unit
# V = 26.65 Å³/atom
data_GdHoTmScIn2
_chemical_formula_sum 'Gd1 Ho1 Tm1 Sc1 In2'
_symmetry_space_group_name_H-M 'P 3 m 1'
_symmetry_Int_Tables_number 156
_cell_length_a 5.2690
_cell_length_b 5.2690
_cell_length_c 6.6514
_cell_angle_alpha 90.00
_cell_angle_beta 90.00
_cell_angle_gamma 120.00
loop_
_symmetry_equiv_pos_as_xyz
'x,y,z'
'-y,x-y,z'
'-x+y,-x,z'
'-y,-x,z'
'-x+y,y,z'
'x,x-y,z'
loop_
_atom_site_label
_atom_site_fract_x
_atom_site_fract_y
_atom_site_fract_z
Gd1 0.0000 0.0000 0.0000
Ho1 0.0000 0.0000 0.5126
Tm1 0.6667 0.3333 0.2594
Sc1 0.3333 0.6667 0.7531
In1 0.3333 0.6667 0.2583
In2 0.6667 0.3333 0.7551